VASP calculation (PBE) on a relaxed Na3InPt3O8 crystal.

E_tot in eV per formula unit: -79.27
ΔE_f (raw) in eV per formula unit: -14.786
Calculated density in g/cm3: 7.31

a = 6.738 Å, b = 6.738 Å, c = 6.227 Å
α = 115.14°, β = 115.14°, γ = 55.21°
Sites, in units of the cell vectors:
1 Na 0.000 0.000 0.000
2 Na 0.000 0.500 0.000
3 Na 0.500 0.000 0.000
4 In 0.000 0.000 0.500
5 Pt 0.000 0.500 0.500
6 Pt 0.500 0.000 0.500
7 Pt 0.500 0.500 0.500
8 O 0.215 0.215 0.256
9 O 0.216 0.680 0.662
10 O 0.226 0.226 0.694
11 O 0.320 0.784 0.338
12 O 0.680 0.216 0.662
13 O 0.774 0.774 0.306
14 O 0.784 0.320 0.338
15 O 0.785 0.785 0.744



VASP calculation (PBE) on a relaxed ZnSbTe2Cl crystal.

E_tot in eV per formula unit: -9.45
ΔE_f (raw) in eV per formula unit: 4.073
Polymorph energy (0 for the lowest one) in eV per atom: 0.453
Calculated density in g/cm3: 4.87

a = 5.610 Å, b = 5.610 Å, c = 5.182 Å
α = 90.00°, β = 90.00°, γ = 90.00°
Sites, in units of the cell vectors:
1 Zn 0.000 0.000 0.000
2 Sb 0.500 0.500 0.000
3 Te 0.000 0.500 0.500
4 Te 0.500 0.000 0.500
5 Cl 0.500 0.500 0.500